Record 1
## Sr4TlZn (PBE-GGA)

Data for a relaxed structure of Sr4TlZn.

```
Sr4TlZn
1.0
5.6652 0.0001 -0.0007
-0.0001 5.6660 -0.0004
0.0054 0.0092 7.9716
Sr Tl Zn
4 1 1
direct
0.5012 0.9968 0.2478
0.0015 0.4975 0.7485
0.0011 0.4970 0.2479
0.5014 0.9976 0.7485
0.5013 0.4973 0.9982
0.0012 0.9974 0.4981
```

Properties
Energy above the lowest structure with this stoichiometry = 112.5 meV per atom

Record 2
## Sr6TlZn2 (PBE-GGA)

Data for a relaxed structure of Sr6TlZn2.

```
Sr6TlZn2
1.0
9.7057 -0.0574 0.0473
-3.7304 8.9604 -0.0473
-3.1666 -4.3314 8.0882
Zn Sr Tl
4 12 2
direct
0.5000 0.6123 0.1123
0.3372 0.0000 0.3372
0.5000 0.3877 0.8877
0.6628 0.0000 0.6628
0.9048 0.7276 0.1772
0.0952 0.2724 0.8228
0.4496 0.2724 0.1772
0.8117 0.2493 0.0610
0.5504 0.7276 0.8228
0.1883 0.2493 0.4376
0.1883 0.7507 0.9390
0.3052 0.6372 0.3320
0.6948 0.0269 0.3320
0.3052 0.9731 0.6680
0.8117 0.7507 0.5624
0.6948 0.3628 0.6680
0.0000 0.0000 0.0000
0.0000 0.5000 0.5000
```

Properties
E_tot = -33.33 eV for the cell shown

Record 3
## Sr4TlZn (PBE-GGA)

Data for a relaxed structure of Sr4TlZn.

```
Sr4TlZn
1.0
7.0764 -1.7973 0.2671
2.0392 -6.3902 2.8954
2.5873 -5.3029 -4.3084
Sr Tl Zn
4 1 1
direct
0.3753 0.3753 0.8742
0.8742 0.3753 0.3753
0.3753 0.8742 0.3753
0.3753 0.3753 0.3753
0.7500 0.7500 0.7500
0.0000 0.0000 0.0000
```

Properties
Energy above the lowest structure with this stoichiometry = 633.1 meV per atom

Record 4
## SrTlZn2 (PBE-GGA)

Data for a relaxed structure of SrTlZn2.

```
SrTlZn2
1.0
-3.5654 -1.4622 2.9430
-2.2726 -2.0445 -3.7690
2.1695 -3.7875 0.7465
Sr Tl Zn
1 1 2
direct
0.5000 0.0000 0.5000
0.0000 0.5000 0.5000
0.5000 0.5000 0.0000
0.0000 0.0000 0.0000
```

Properties
E_tot = -6.86 eV for the cell shown

Record 5
## Sr3Tl3Zn (PBE-GGA)

Data for a relaxed structure of Sr3Tl3Zn.

```
Sr3Tl3Zn
1.0
4.6716 0.0000 0.7037
2.3037 6.1718 0.5650
-0.0388 0.0040 16.1161
Sr Tl Zn
6 6 2
direct
0.6025 0.7144 0.0805
0.7438 0.7471 0.7654
0.5317 0.3262 0.6103
0.4683 0.6738 0.3897
0.3975 0.2856 0.9195
0.2562 0.2529 0.2346
0.9703 0.8198 0.2396
0.1496 0.2438 0.4571
0.8504 0.7562 0.5429
0.0297 0.1802 0.7604
0.8821 0.1580 0.0779
0.1179 0.8420 0.9221
0.2360 0.9177 0.6103
0.7640 0.0823 0.3897
```

Properties
E_tot = -31.64 eV for the cell shown

Record 6
## Sr2Tl2Zn (PBE-GGA)

Data for a relaxed structure of Sr2Tl2Zn.

```
Sr2Tl2Zn
1.0
6.5729 0.0000 0.0000
0.0000 6.5729 0.0000
3.2864 3.2864 4.3222
Sr Tl Zn
2 2 1
direct
0.7500 0.2500 0.5000
0.2500 0.7500 0.5000
0.3315 0.3315 0.3370
0.6685 0.6685 0.6630
0.0000 0.0000 0.0000
```

Properties
Energy above the lowest structure with this stoichiometry = 294.3 meV per atom

Record 7
## Sr3Tl2Zn (PBE-GGA)

Data for a relaxed structure of Sr3Tl2Zn.

```
Sr3Tl2Zn
1.0
4.0284 0.0000 0.0000
0.0000 4.0284 0.0000
0.0000 0.0000 12.2424
Tl Sr Zn
2 3 1
direct
0.5000 0.5000 0.8306
0.5000 0.5000 0.1694
0.0000 0.0000 0.0000
0.0000 0.0000 0.6573
0.0000 0.0000 0.3427
0.5000 0.5000 0.5000
```

Properties
Energy above the lowest structure with this stoichiometry = 0.0 meV per atom

Record 8
## Sr2Tl3Zn (PBE-GGA)

Data for a relaxed structure of Sr2Tl3Zn.

```
Sr2Tl3Zn
1.0
4.6881 0.0000 1.9634
2.1157 5.9527 1.5270
0.0352 -0.1538 6.4947
Sr Tl Zn
2 3 1
direct
0.5384 0.2075 0.7157
0.4539 0.7955 0.2966
0.8564 0.6098 0.6774
0.8205 0.2352 0.1237
0.1601 0.7653 0.9146
0.1706 0.3867 0.2720
```

Properties
Energy above the lowest structure with this stoichiometry = 0.0 meV per atom

In μB per atom, the spin magnetization values for the records above are, in order, 0.000 0.000 0.000 0.000 0.000 0.000 0.000 0.000.
In Å³ per atom, the calculated volume values for the records above are, in order, 42.647 38.988 45.959 26.050 33.202 37.346 33.111 30.216.